Entry 1:
Here is Sr3Pa3TiN8 after structural relaxation from Alexandria. Energies are from PBE-GGA.

Properties
M_tot	0.0	Bohr magnetons per cell
E_form (uncorrected)	-19.74	eV/f.u.
calculated total energy	-8.52	eV per atom

Cell lengths 6.9552, 6.9552, 18.0221 Å; angles 90.00, 90.00, 120.00 degrees
With the nearest neighbours (Å) after each atom.
Space group R-3m (No. 166, hexagonal axes)
Unique sites:
Sr: 0.0000 0.5000 0.0000 (multiplicity 9)  6 N 2.66-2.76
Pa: 0.0000 0.5000 0.5000 (multiplicity 9)  6 N 2.31-2.37
Ti: 0.0000 0.0000 0.5000 (multiplicity 3)  6 N 2.20
N: 0.0000 0.0000 0.2367 (multiplicity 6)  3 Pa 2.37
N: 0.0133 0.5067 0.2257 (multiplicity 18)  1 Ti 2.20, 2 Pa 2.31

***

Entry 2:
Here is LaCr2Cu after structural relaxation from Alexandria. Energies are from PBE-GGA.

Properties
M_tot	0.0	Bohr magnetons per cell
energy of formation from the pure elements	335	kJ/mol of formula units
distance to the lowest polymorph of the same formula	573	meV per atom
calculated total energy	-6.20	eV per atom

Cell lengths 2.7542, 2.7542, 8.5083 Å; angles 90.00, 90.00, 90.00 degrees
With the nearest neighbours (Å) after each atom.
Space group P4/mmm (No. 123)
Unique sites:
La: 0.0000 0.0000 0.0000 (multiplicity 1)  4 La 2.75
Cr: 0.5000 0.5000 0.3025 (multiplicity 2)  4 Cu 2.57, 4 Cr 2.75
Cu: 0.0000 0.0000 0.5000 (multiplicity 1)  8 Cr 2.57, 4 Cu 2.75

***

Entry 3:
Here is CaMn3As after structural relaxation from Alexandria. Energies are from PBE-GGA.

Properties
M_tot	10.0	Bohr magnetons per cell
energy of formation from the pure elements	156	kJ/mol of formula units
distance to the lowest polymorph of the same formula	0	meV per atom
calculated total energy	-6.51	eV per atom

Cell lengths 4.7114, 4.7114, 4.7114 Å; angles 90.00, 90.00, 90.00 degrees
With the nearest neighbours (Å) after each atom.
Space group Pm-3m (No. 221)
Unique sites:
Ca: 0.0000 0.0000 0.0000 (multiplicity 1)  12 Mn 3.33
Mn: 0.0000 0.5000 0.5000 (multiplicity 3)  2 As 2.36
As: 0.5000 0.5000 0.5000 (multiplicity 1)  6 Mn 2.36

***

Entry 4:
Here is Ac8Cd2Os after structural relaxation from Alexandria. Energies are from PBE-GGA.

Properties
M_tot	0.0	Bohr magnetons per cell
energy of formation from the pure elements	-68	kJ/mol of formula units
calculated total energy	-4.24	eV per atom

Cell lengths 20.7828, 5.1005, 8.0483 Å; angles 90.00, 91.98, 90.00 degrees
With the nearest neighbours (Å) after each atom.
Space group C2/m (No. 12)
Unique sites:
Ac: 0.0022 0.0000 0.2770 (multiplicity 4)  2 Os 3.12
Ac: 0.0966 0.5000 0.9995 (multiplicity 4)  2 Cd 3.56, 6 Ac 3.92-3.95
Ac: 0.1373 0.5000 0.5061 (multiplicity 4)  1 Os 2.85
Ac: 0.2207 0.0000 0.8156 (multiplicity 4)  3 Cd 3.38-3.57
Cd: 0.1753 0.0000 0.2397 (multiplicity 4)  8 Ac 3.38-3.62
Os: 0.0000 0.5000 0.5000 (multiplicity 2)  6 Ac 2.85-3.12

***

Entry 5:
Here is Ca2FeRu after structural relaxation from Alexandria. Energies are from PBE-GGA.

Properties
M_tot	7.1	Bohr magnetons per cell
energy of formation from the pure elements	264	kJ/mol of formula units
distance to the lowest polymorph of the same formula	463	meV per atom
calculated total energy	-4.75	eV per atom

Cell lengths 3.2181, 3.2181, 27.9376 Å; angles 90.00, 90.00, 120.00 degrees
With the nearest neighbours (Å) after each atom.
Space group R-3m (No. 166, hexagonal axes)
Unique sites:
Ca: 0.0000 0.0000 0.2444 (multiplicity 6)  3 Ru 2.86, 3 Fe 3.10
Fe: 0.0000 0.0000 0.0000 (multiplicity 3)  6 Ca 3.10, 6 Fe 3.22
Ru: 0.0000 0.0000 0.5000 (multiplicity 3)  6 Ca 2.86

***

Entry 6:
Here is Ni2SnC2 after structural relaxation from Alexandria. Energies are from PBE-GGA.

Properties
M_tot	0.0	Bohr magnetons per cell
energy of formation from the pure elements	372	kJ/mol of formula units
distance to the lowest polymorph of the same formula	0	meV per atom
calculated total energy	-6.03	eV per atom

Cell lengths 3.7337, 3.7337, 7.7432 Å; angles 90.00, 90.00, 90.00 degrees
With the nearest neighbours (Å) after each atom.
Space group I4/mmm (No. 139)
Unique sites:
Ni: 0.0000 0.5000 0.2500 (multiplicity 4)  4 C 2.23
Sn: 0.0000 0.0000 0.0000 (multiplicity 2)  8 Ni 2.69, 8 C 2.74
C: 0.0000 0.0000 0.4071 (multiplicity 4)  1 C 1.44

***

Entry 7:
Here is HfZrReNi after structural relaxation from Alexandria. Energies are from PBE-GGA.

Properties
M_tot	0.0	Bohr magnetons per cell
energy of formation from the pure elements	-143	kJ/mol of formula units
calculated total energy	-9.55	eV per atom

Cell lengths 6.5104, 6.5104, 6.5104 Å; angles 90.00, 90.00, 90.00 degrees
With the nearest neighbours (Å) after each atom.
Space group F-43m (No. 216)
Unique sites:
Hf: 0.0000 0.0000 0.0000 (multiplicity 4)  4 Re 2.82, 4 Ni 2.82
Zr: 0.0000 0.0000 0.5000 (multiplicity 4)  4 Ni 2.82, 4 Re 2.82
Re: 0.2500 0.2500 0.7500 (multiplicity 4)  4 Zr 2.82, 4 Hf 2.82
Ni: 0.2500 0.2500 0.2500 (multiplicity 4)  4 Hf 2.82, 4 Zr 2.82

***

Entry 8:
Here is Ta3PdC after structural relaxation from Alexandria. Energies are from PBE-GGA.

Properties
M_tot	0.0	Bohr magnetons per cell
energy of formation from the pure elements	-145	kJ/mol of formula units
distance to the lowest polymorph of the same formula	0	meV per atom
calculated total energy	-10.30	eV per atom

Cell lengths 8.6175, 11.6292, 3.1169 Å; angles 90.00, 90.00, 90.00 degrees
With the nearest neighbours (Å) after each atom.
Space group Cmmm (No. 65)
Unique sites:
Ta: 0.0000 0.2126 0.0000 (multiplicity 4)  2 C 2.20
Ta: 0.2110 0.3713 0.5000 (multiplicity 8)  2 C 2.13
Pd: 0.0000 0.0000 0.5000 (multiplicity 2)  8 Ta 2.91-2.92, 2 Pd 3.12
Pd: 0.0000 0.5000 0.0000 (multiplicity 2)  8 Ta 2.82, 2 Pd 3.12
C: 0.2500 0.2500 0.0000 (multiplicity 4)  6 Ta 2.13-2.20

***

Entry 9:
Here is La2TmCu after structural relaxation from Alexandria. Energies are from PBE-GGA.

Properties
M_tot	0.0	Bohr magnetons per cell
energy of formation from the pure elements	94	kJ/mol of formula units
distance to the lowest polymorph of the same formula	273	meV per atom
calculated total energy	-4.36	eV per atom

Cell lengths 3.5334, 3.5334, 33.2239 Å; angles 90.00, 90.00, 120.00 degrees
With the nearest neighbours (Å) after each atom.
Space group R-3m (No. 166, hexagonal axes)
Unique sites:
La: 0.0000 0.0000 0.1007 (multiplicity 6)  3 Cu 3.00, 1 Tm 3.34
Tm: 0.0000 0.0000 0.0000 (multiplicity 3)  2 La 3.34, 6 Tm 3.53
Cu: 0.0000 0.0000 0.5000 (multiplicity 3)  6 La 3.00

***

Entry 10:
Here is SrLa2Tl2 after structural relaxation from Alexandria. Energies are from PBE-GGA.

Properties
M_tot	0.0	Bohr magnetons per cell
energy of formation from the pure elements	-97	kJ/mol of formula units
distance to the lowest polymorph of the same formula	123	meV per atom
calculated total energy	-3.46	eV per atom

Cell lengths 4.9693, 4.9693, 14.7638 Å; angles 90.00, 90.00, 90.00 degrees
With the nearest neighbours (Å) after each atom.
Space group I4/mmm (No. 139)
Unique sites:
Sr: 0.0000 0.0000 0.0000 (multiplicity 2)  8 Tl 3.80
La: 0.0000 0.5000 0.2500 (multiplicity 4)  4 Tl 3.34, 4 La 3.51
Tl: 0.0000 0.0000 0.4014 (multiplicity 4)  1 Tl 2.91

***

Entry 11:
Here is AlCu14Ni after structural relaxation from Alexandria. Energies are from PBE-GGA.

Properties
M_tot	0.0	Bohr magnetons per cell
energy of formation from the pure elements	-92	kJ/mol of formula units
calculated total energy	-4.24	eV per atom

Cell lengths 8.4032, 5.0946, 8.9493 Å; angles 90.00, 90.00, 90.00 degrees
With the nearest neighbours (Å) after each atom.
Space group Amm2 (No. 38)
Unique sites:
Al: 0.0000 0.0000 0.0000 (multiplicity 2)  2 Ni 2.55, 10 Cu 2.57-2.58
Cu: 0.0000 0.2490 0.2507 (multiplicity 4)  8 Cu 2.54-2.57, 2 Al 2.57-2.58, 2 Ni 2.57
Cu: 0.2496 0.0000 0.6644 (multiplicity 4)  11 Cu 2.55-2.58, 1 Ni 2.56
Cu: 0.2501 0.2486 0.4151 (multiplicity 8)  10 Cu 2.53-2.58, 1 Ni 2.57, 1 Al 2.58
Cu: 0.2507 0.0000 0.1653 (multiplicity 4)  11 Cu 2.55-2.58, 1 Al 2.57
Cu: 0.5000 0.0000 0.3298 (multiplicity 2)  12 Cu 2.55-2.58
Cu: 0.5000 0.0000 0.8302 (multiplicity 2)  12 Cu 2.55-2.58
Cu: 0.5000 0.2496 0.0801 (multiplicity 4)  12 Cu 2.54-2.58
Ni: 0.0000 0.0000 0.5010 (multiplicity 2)  2 Al 2.55, 10 Cu 2.56-2.57

***

Entry 12:
Here is AcCdPt after structural relaxation from Alexandria. Energies are from PBE-GGA.

Properties
M_tot	0.0	Bohr magnetons per cell
energy of formation from the pure elements	-213	kJ/mol of formula units
distance to the lowest polymorph of the same formula	112	meV per atom
calculated total energy	-4.43	eV per atom

Cell lengths 5.9440, 6.4498, 9.1884 Å; angles 108.86, 93.36, 104.26 degrees
With the nearest neighbours (Å) after each atom.
Space group P-1 (No. 2)
Unique sites:
Ac: 0.2129 0.3157 0.0323 (multiplicity 2)  5 Pt 3.05-3.42
Ac: 0.2698 0.7312 0.6898 (multiplicity 2)  5 Pt 3.02-3.29, 1 Cd 3.37
Cd: 0.0999 0.8838 0.3413 (multiplicity 2)  2 Pt 2.83-2.97, 3 Cd 3.02-3.15
Cd: 0.4426 0.2380 0.6396 (multiplicity 2)  2 Pt 2.86-3.00, 3 Cd 3.02-3.15
Pt: 0.2555 0.3493 0.3726 (multiplicity 2)  3 Cd 2.83-3.00, 4 Ac 3.02-3.13
Pt: 0.3287 0.8340 0.0576 (multiplicity 2)  2 Cd 2.97-3.24, 1 Pt 3.07, 5 Ac 3.10-3.29